No. 1
MnTl2: relaxed, PBE.

```
12
Lattice="6.7285 0.0000 0.0000 0.0000 6.7285 0.0000 0.0000 0.0000 6.7285" Properties=species:S:1:pos:R:3 pbc="T T T"
Mn 0.0000 0.0000 0.0000
Mn 0.0000 3.3643 3.3643
Mn 3.3643 3.3643 0.0000
Mn 3.3643 0.0000 3.3643
Tl 5.0461 5.0461 5.0461
Tl 5.0468 1.6825 1.6818
Tl 1.6825 1.6825 1.6825
Tl 1.6825 1.6818 5.0468
Tl 5.0461 5.0468 1.6818
Tl 1.6818 5.0461 5.0468
Tl 1.6818 5.0468 1.6825
Tl 5.0468 1.6818 5.0461
```

## Properties
The space group is No. 225. For the size of the total moment, the calculation gives 14.883 μB/cell. The crystal system is cubic. Its density of states at the Fermi level is 1.85 states/eV/f.u. The total energy comes out at -0.15467 Ha/atom. The formation energy is 425 meV per atom.

No. 2
Mn2Tl: relaxed, PBE.

```
6
Lattice="-2.5765 2.5765 4.4409 2.5765 -2.5765 4.4409 2.5765 2.5765 -4.4409" Properties=species:S:1:pos:R:3 pbc="T T T"
Mn 1.6612 0.9153 4.4409
Mn -0.9153 1.6612 4.4409
Mn 3.4919 0.9153 0.0000
Mn 0.9153 1.6612 0.0000
Tl 0.0000 0.0000 2.2205
Tl 0.0000 0.0000 6.6614
```

## Properties
The space group is No. 140. For the size of the total moment, the calculation gives 14.305 μB/cell. The crystal system is tetragonal. Its density of states at the Fermi level is 2.51 states/eV/f.u. The total energy comes out at -0.22961 Ha/atom. The formation energy is 654 meV per atom.

No. 3
MnTl: relaxed, PBE.

```
12
Lattice="-0.1408 -0.6935 2.9893 0.2085 -11.8554 -2.7404 6.9732 0.0443 0.3388" Properties=species:S:1:pos:R:3 pbc="T T T"
Mn 3.0725 -10.9082 -0.8074
Mn 6.4549 -4.9583 0.7322
Mn 4.8091 0.0306 0.2336
Mn 1.4267 -5.9193 -1.3060
Mn 6.4997 -7.5087 0.1427
Mn 2.9089 -1.6031 1.3435
Tl 0.2826 -0.3445 1.5118
Tl 5.0884 -9.0424 -1.8580
Tl 4.9778 -2.7503 -0.4035
Tl 1.4976 -3.1369 -0.6572
Tl 3.8734 -6.2500 0.3110
Tl 1.5954 -8.7002 -1.9431
```

## Properties
The space group is No. 38. For the size of the total moment, the calculation gives 21.490 μB/cell. The crystal system is orthorhombic. Its density of states at the Fermi level is 1.43 states/eV/f.u. The total energy comes out at -0.19453 Ha/atom. The formation energy is 475 meV per atom.

No. 4
Mn2Tl: relaxed, PBE.

```
6
Lattice="-0.4617 -4.1095 3.7579 1.8294 -4.9311 1.8870 4.5688 1.1925 5.0711" Properties=species:S:1:pos:R:3 pbc="T T T"
Mn 0.6628 -3.2994 2.2605
Mn 5.2738 -4.5487 8.4555
Mn 3.3513 0.6058 3.8379
Mn 2.5853 -8.4538 6.8781
Tl 3.4093 -2.0964 5.0954
Tl 2.5273 -5.7517 5.6206
```

## Properties
The space group is No. 12. For the size of the total moment, the calculation gives 14.164 μB/cell. The crystal system is monoclinic. Its density of states at the Fermi level is 1.79 states/eV/f.u. The total energy comes out at -0.23405 Ha/atom. The formation energy is 533 meV per atom.

no.,theoretical density (g cm⁻³)
1,10.11
2,8.85
3,9.90
4,9.65